Entry A
A relaxed ReSbAs crystal, computed with PBE.

Summary:
ρ = 10.47 g cm⁻³
D(E_F) = 1.49 states/eV/f.u.
SG = P2_1/c (14)

Unit cell a=6.231 b=6.615 c=6.676 alpha=90.00 beta=117.99 gamma=90.00
Atoms (fractional coordinates):
Re (0.218, 0.007, 0.498)
Re (0.218, 0.493, 0.998)
Re (0.782, 0.507, 0.002)
Re (0.782, 0.993, 0.502)
Sb (0.339, 0.631, 0.678)
Sb (0.339, 0.869, 0.178)
Sb (0.661, 0.131, 0.822)
Sb (0.661, 0.369, 0.322)
As (0.162, 0.141, 0.823)
As (0.162, 0.359, 0.323)
As (0.838, 0.641, 0.677)
As (0.838, 0.859, 0.177)

Entry B
A relaxed ReSbAs crystal, computed with PBE.

Summary:
ρ = 10.15 g cm⁻³
D(E_F) = 1.76 states/eV/f.u.
SG = Fmm2 (42)

Unit cell a=7.957 b=7.695 c=3.046 alpha=83.66 beta=73.97 gamma=22.37
Atoms (fractional coordinates):
Re (0.000, 0.000, 0.000)
Sb (0.346, 0.346, 0.654)
As (0.624, 0.624, 0.376)

Most favorable structure: entry A. The second most favorable one is 0.413 eV/atom above it.

Entry A
A relaxed ReSb3As crystal, computed with PBE.

Summary:
ρ = 7.26 g cm⁻³
D(E_F) = 2.50 states/eV/f.u.
SG = Pm-3m (221)

Unit cell a=5.232 b=5.232 c=5.232 alpha=90.00 beta=90.00 gamma=90.00
Atoms (fractional coordinates):
Re (0.000, 0.000, 0.000)
Sb (0.000, 0.500, 0.500)
Sb (0.500, 0.000, 0.500)
Sb (0.500, 0.500, 0.000)
As (0.500, 0.500, 0.500)

Entry B
A relaxed ReSb3As crystal, computed with PBE.

Summary:
ρ = 7.66 g cm⁻³
D(E_F) = 3.32 states/eV/f.u.
SG = Pm-3m (221)

Unit cell a=5.139 b=5.139 c=5.139 alpha=90.00 beta=90.00 gamma=90.00
Atoms (fractional coordinates):
Re (0.000, 0.000, 0.000)
Sb (0.000, 0.000, 0.500)
Sb (0.000, 0.500, 0.000)
Sb (0.500, 0.000, 0.000)
As (0.500, 0.500, 0.500)

Most favorable structure: entry B. The second most favorable one is 0.896 eV/atom above it.

Entry A
A relaxed Sc3ReAs crystal, computed with PBE.

Summary:
ρ = 5.30 g cm⁻³
D(E_F) = 5.12 states/eV/f.u.
SG = Pm-3m (221)

Unit cell a=4.989 b=4.989 c=4.989 alpha=90.00 beta=90.00 gamma=90.00
Atoms (fractional coordinates):
Sc (0.000, 0.000, 0.500)
Sc (0.000, 0.500, 0.000)
Sc (0.500, 0.000, 0.000)
Re (0.000, 0.000, 0.000)
As (0.500, 0.500, 0.500)

Entry B
A relaxed Sc3ReAs crystal, computed with PBE.

Summary:
ρ = 5.66 g cm⁻³
D(E_F) = 8.59 states/eV/f.u.
SG = Pm-3m (221)

Unit cell a=4.878 b=4.878 c=4.878 alpha=90.00 beta=90.00 gamma=90.00
Atoms (fractional coordinates):
Sc (0.000, 0.000, 0.500)
Sc (0.000, 0.500, 0.000)
Sc (0.500, 0.000, 0.000)
Re (0.500, 0.500, 0.500)
As (0.000, 0.000, 0.000)

Most favorable structure: entry A. The second most favorable one is 0.194 eV/atom above it.

Entry A
A relaxed ScRe3As crystal, computed with PBE.

Summary:
ρ = 11.84 g cm⁻³
D(E_F) = 5.81 states/eV/f.u.
SG = Pm-3m (221)

Unit cell a=4.566 b=4.566 c=4.566 alpha=90.00 beta=90.00 gamma=90.00
Atoms (fractional coordinates):
Sc (0.000, 0.000, 0.000)
Re (0.000, 0.500, 0.500)
Re (0.500, 0.000, 0.500)
Re (0.500, 0.500, 0.000)
As (0.500, 0.500, 0.500)

Entry B
A relaxed ScRe3As crystal, computed with PBE.

Summary:
ρ = 11.27 g cm⁻³
D(E_F) = 9.96 states/eV/f.u.
SG = Pm-3m (221)

Unit cell a=4.642 b=4.642 c=4.642 alpha=90.00 beta=90.00 gamma=90.00
Atoms (fractional coordinates):
Sc (0.000, 0.000, 0.000)
Re (0.000, 0.000, 0.500)
Re (0.000, 0.500, 0.000)
Re (0.500, 0.000, 0.000)
As (0.500, 0.500, 0.500)

Most favorable structure: entry A. The second most favorable one is 1.484 eV/atom above it.

Entry A
A relaxed ScReAsSe2 crystal, computed with PBE.

Summary:
ρ = 5.86 g cm⁻³
D(E_F) = 2.73 states/eV/f.u.
SG = P4/mmm (123)

Unit cell a=4.961 b=4.961 c=5.345 alpha=90.00 beta=90.00 gamma=90.00
Atoms (fractional coordinates):
Sc (0.000, 0.000, 0.000)
Re (0.000, 0.000, 0.500)
As (0.500, 0.500, 0.500)
Se (0.000, 0.500, 0.000)
Se (0.500, 0.000, 0.000)

Entry B
A relaxed ScReAsSe2 crystal, computed with PBE.

Summary:
ρ = 6.50 g cm⁻³
D(E_F) = 5.31 states/eV/f.u.
SG = P4/mmm (123)

Unit cell a=5.034 b=5.034 c=4.679 alpha=90.00 beta=90.00 gamma=90.00
Atoms (fractional coordinates):
Sc (0.000, 0.000, 0.000)
Re (0.500, 0.500, 0.500)
As (0.500, 0.500, 0.000)
Se (0.000, 0.500, 0.500)
Se (0.500, 0.000, 0.500)

Entry C
A relaxed ScReAsSe2 crystal, computed with PBE.

Summary:
ρ = 5.86 g cm⁻³
D(E_F) = 3.75 states/eV/f.u.
SG = P4/mmm (123)

Unit cell a=5.024 b=5.024 c=5.208 alpha=90.00 beta=90.00 gamma=90.00
Atoms (fractional coordinates):
Sc (0.000, 0.000, 0.000)
Re (0.500, 0.500, 0.500)
As (0.000, 0.000, 0.500)
Se (0.000, 0.500, 0.000)
Se (0.500, 0.000, 0.000)

Most favorable structure: entry B. The second most favorable one is 0.591 eV/atom above it.

Entry A
A relaxed ReAsSe4 crystal, computed with PBE.

Summary:
ρ = 6.57 g cm⁻³
D(E_F) = 4.00 states/eV/f.u.
SG = C2/c (15)

Unit cell a=7.341 b=7.341 c=6.966 alpha=96.53 beta=96.53 gamma=51.61
Atoms (fractional coordinates):
Re (0.066, 0.934, 0.750)
Re (0.934, 0.066, 0.250)
As (0.352, 0.648, 0.250)
As (0.648, 0.352, 0.750)
Se (0.060, 0.202, 0.544)
Se (0.202, 0.060, 0.044)
Se (0.255, 0.533, 0.879)
Se (0.467, 0.745, 0.621)
Se (0.533, 0.255, 0.379)
Se (0.745, 0.467, 0.121)
Se (0.798, 0.940, 0.956)
Se (0.940, 0.798, 0.456)

Entry B
A relaxed ReAsSe4 crystal, computed with PBE.

Summary:
ρ = 7.73 g cm⁻³
D(E_F) = 5.71 states/eV/f.u.
SG = F-43m (216)

Unit cell a=5.595 b=5.595 c=5.595 alpha=60.00 beta=60.00 gamma=60.00
Atoms (fractional coordinates):
Re (0.000, 0.000, 0.000)
As (0.250, 0.250, 0.250)
Se (0.120, 0.627, 0.627)
Se (0.627, 0.120, 0.627)
Se (0.627, 0.627, 0.120)
Se (0.627, 0.627, 0.627)

Most favorable structure: entry A. The second most favorable one is 1.391 eV/atom above it.

Entry A
A relaxed ReAsSe3 crystal, computed with PBE.

Summary:
ρ = 7.21 g cm⁻³
D(E_F) = 7.38 states/eV/f.u.
SG = Pm-3m (221)

Unit cell a=4.859 b=4.859 c=4.859 alpha=90.00 beta=90.00 gamma=90.00
Atoms (fractional coordinates):
Re (0.000, 0.000, 0.000)
As (0.500, 0.500, 0.500)
Se (0.000, 0.000, 0.500)
Se (0.000, 0.500, 0.000)
Se (0.500, 0.000, 0.000)

Entry B
A relaxed ReAsSe3 crystal, computed with PBE.

Summary:
ρ = 6.67 g cm⁻³
D(E_F) = 3.44 states/eV/f.u.
SG = Pm-3m (221)

Unit cell a=4.987 b=4.987 c=4.987 alpha=90.00 beta=90.00 gamma=90.00
Atoms (fractional coordinates):
Re (0.000, 0.000, 0.000)
As (0.500, 0.500, 0.500)
Se (0.000, 0.500, 0.500)
Se (0.500, 0.000, 0.500)
Se (0.500, 0.500, 0.000)

Most favorable structure: entry A. The second most favorable one is 0.688 eV/atom above it.

Entry A
A relaxed ReAs3Se crystal, computed with PBE.

Summary:
ρ = 7.01 g cm⁻³
D(E_F) = 2.57 states/eV/f.u.
SG = Pm-3m (221)

Unit cell a=4.877 b=4.877 c=4.877 alpha=90.00 beta=90.00 gamma=90.00
Atoms (fractional coordinates):
Re (0.000, 0.000, 0.000)
As (0.000, 0.500, 0.500)
As (0.500, 0.000, 0.500)
As (0.500, 0.500, 0.000)
Se (0.500, 0.500, 0.500)

Entry B
A relaxed ReAs3Se crystal, computed with PBE.

Summary:
ρ = 7.28 g cm⁻³
D(E_F) = 3.76 states/eV/f.u.
SG = Pm-3m (221)

Unit cell a=4.816 b=4.816 c=4.816 alpha=90.00 beta=90.00 gamma=90.00
Atoms (fractional coordinates):
Re (0.000, 0.000, 0.000)
As (0.000, 0.000, 0.500)
As (0.000, 0.500, 0.000)
As (0.500, 0.000, 0.000)
Se (0.500, 0.500, 0.500)

Most favorable structure: entry B. The second most favorable one is 1.119 eV/atom above it.

Entry A
A relaxed TaReAs2Se crystal, computed with PBE.

Summary:
ρ = 7.97 g cm⁻³
D(E_F) = 3.13 states/eV/f.u.
SG = P4/mmm (123)

Unit cell a=5.035 b=5.035 c=4.900 alpha=90.00 beta=90.00 gamma=90.00
Atoms (fractional coordinates):
Ta (0.000, 0.000, 0.000)
Re (0.500, 0.500, 0.500)
As (0.000, 0.500, 0.000)
As (0.500, 0.000, 0.000)
Se (0.000, 0.000, 0.500)

Entry B
A relaxed TaReAs2Se crystal, computed with PBE.

Summary:
ρ = 8.73 g cm⁻³
D(E_F) = 7.66 states/eV/f.u.
SG = P4/mmm (123)

Unit cell a=4.703 b=4.703 c=5.126 alpha=90.00 beta=90.00 gamma=90.00
Atoms (fractional coordinates):
Ta (0.000, 0.000, 0.000)
Re (0.500, 0.500, 0.500)
As (0.000, 0.500, 0.500)
As (0.500, 0.000, 0.500)
Se (0.500, 0.500, 0.000)

Most favorable structure: entry B. The second most favorable one is 0.027 eV/atom above it.

Entry A
A relaxed YReAsSe2 crystal, computed with PBE.

Summary:
ρ = 5.29 g cm⁻³
D(E_F) = 4.58 states/eV/f.u.
SG = P4/mmm (123)

Unit cell a=5.352 b=5.352 c=5.562 alpha=90.00 beta=90.00 gamma=90.00
Atoms (fractional coordinates):
Y (0.000, 0.000, 0.000)
Re (0.500, 0.500, 0.500)
As (0.000, 0.000, 0.500)
Se (0.000, 0.500, 0.000)
Se (0.500, 0.000, 0.000)

Entry B
A relaxed YReAsSe2 crystal, computed with PBE.

Summary:
ρ = 6.99 g cm⁻³
D(E_F) = 3.54 states/eV/f.u.
SG = P4/mmm (123)

Unit cell a=5.091 b=5.091 c=4.657 alpha=90.00 beta=90.00 gamma=90.00
Atoms (fractional coordinates):
Y (0.000, 0.000, 0.000)
Re (0.500, 0.500, 0.500)
As (0.500, 0.500, 0.000)
Se (0.000, 0.500, 0.500)
Se (0.500, 0.000, 0.500)

Most favorable structure: entry B. The second most favorable one is 1.007 eV/atom above it.

Entry A
A relaxed ZrReAs2Se crystal, computed with PBE.

Summary:
ρ = 7.30 g cm⁻³
D(E_F) = 6.04 states/eV/f.u.
SG = P4/mmm (123)

Unit cell a=4.685 b=4.685 c=5.244 alpha=90.00 beta=90.00 gamma=90.00
Atoms (fractional coordinates):
Zr (0.000, 0.000, 0.000)
Re (0.500, 0.500, 0.500)
As (0.000, 0.500, 0.500)
As (0.500, 0.000, 0.500)
Se (0.500, 0.500, 0.000)

Entry B
A relaxed ZrReAs2Se crystal, computed with PBE.

Summary:
ρ = 6.09 g cm⁻³
D(E_F) = 4.16 states/eV/f.u.
SG = P4/mmm (123)

Unit cell a=5.217 b=5.217 c=5.069 alpha=90.00 beta=90.00 gamma=90.00
Atoms (fractional coordinates):
Zr (0.000, 0.000, 0.000)
Re (0.500, 0.500, 0.500)
As (0.000, 0.500, 0.000)
As (0.500, 0.000, 0.000)
Se (0.000, 0.000, 0.500)

Most favorable structure: entry A. The second most favorable one is 0.542 eV/atom above it.

Entry A
A relaxed ReSn3As crystal, computed with PBE.

Summary:
ρ = 7.29 g cm⁻³
D(E_F) = 4.73 states/eV/f.u.
SG = Pm-3m (221)

Unit cell a=5.200 b=5.200 c=5.200 alpha=90.00 beta=90.00 gamma=90.00
Atoms (fractional coordinates):
Re (0.000, 0.000, 0.000)
Sn (0.000, 0.000, 0.500)
Sn (0.000, 0.500, 0.000)
Sn (0.500, 0.000, 0.000)
As (0.500, 0.500, 0.500)

Entry B
A relaxed ReSn3As crystal, computed with PBE.

Summary:
ρ = 7.24 g cm⁻³
D(E_F) = 5.69 states/eV/f.u.
SG = Pm-3m (221)

Unit cell a=5.213 b=5.213 c=5.213 alpha=90.00 beta=90.00 gamma=90.00
Atoms (fractional coordinates):
Re (0.000, 0.000, 0.000)
Sn (0.000, 0.500, 0.500)
Sn (0.500, 0.000, 0.500)
Sn (0.500, 0.500, 0.000)
As (0.500, 0.500, 0.500)

Most favorable structure: entry A. The second most favorable one is 0.975 eV/atom above it.